# GaOsI3 GGA-PBE optimized geometry
data_GaOsI3
_chemical_formula_sum 'Ga1 Os1 I3'
_cell_length_a 5.495
_cell_length_b 5.495
_cell_length_c 5.495
_cell_angle_alpha 90.00
_cell_angle_beta 90.00
_cell_angle_gamma 90.00
_space_group_name_H-M_alt 'P 1'
_space_group_IT_number 1
loop_
_space_group_symop_operation_xyz
'x,y,z'
loop_
_atom_site_label
_atom_site_fract_x
_atom_site_fract_y
_atom_site_fract_z
I1 0.000 0.500 0.000
I2 0.000 0.000 0.500
I3 0.500 0.000 0.000
Os1 0.000 0.000 0.000
Ga1 0.500 0.500 0.500
# Size of the total moment: 1.52 Bohr magnetons per cell
# Formation energy without anion corrections: 0.523 eV per atom
# Total energy: -3.258 eV per atom
# Calculated density: 6.4 g/cm3